# 1
4
Lattice="-1.4002 -2.2397 -3.1152 1.7981 -3.3125 1.5734 -2.6424 -0.6487 1.6541" Properties=species:S:1:pos:R:3 comment="ScGaCo2 | OQMD | GGA-PBE | relaxed" sg="P4/mmm, No. 123" pbc="T T T"
Co -0.4221 -1.9806 1.6138
Co -2.0213 -1.4442 -0.7305
Ga 0.0000 0.0000 0.0000
Sc 0.1989 -2.7761 -0.7709


# 2
12
Lattice="3.5870 -6.2471 0.0000 3.5870 6.2471 0.0000 0.0000 0.0000 9.2282" Properties=species:S:1:pos:R:3 comment="KCd5 | OQMD | GGA-PBE | relaxed" relative_energy_mev_per_atom=294 sg="Cmcm, No. 63" pbc="T T T"
Cd 1.4239 -0.8069 6.9212
Cd 3.5870 2.0794 0.8390
Cd 1.4239 0.8069 2.3071
Cd 3.5870 2.0794 3.7751
Cd 5.7501 0.8069 2.3071
Cd 3.5870 -4.5903 6.9212
Cd 3.5870 4.5903 2.3071
Cd 5.7501 -0.8069 6.9212
Cd 3.5870 -2.0794 5.4531
Cd 3.5870 -2.0794 8.3892
K 3.5870 2.1095 6.9212
K 3.5870 -2.1095 2.3071


# 3
12
Lattice="5.6452 0.0000 0.0000 0.0000 2.9501 0.0000 0.0000 0.0000 11.5099" Properties=species:S:1:pos:R:3 comment="FeSiSn | OQMD | GGA-PBE | relaxed" sg="Pnma, No. 62" pbc="T T T"
Si 4.1511 0.7375 1.6822
Si 4.3167 2.2126 7.4371
Si 1.4941 2.2126 9.8277
Si 1.3285 0.7375 4.0728
Fe 2.8326 2.2126 3.0395
Fe 0.0100 2.2126 2.7154
Fe 2.8126 0.7375 8.4704
Fe 5.6352 0.7375 8.7945
Sn 4.1888 2.2126 10.5082
Sn 1.4565 0.7375 1.0017
Sn 1.3662 2.2126 6.7566
Sn 4.2791 0.7375 4.7533


| no. | VASP energy (eV per atom) |
| --- | --- |
| 1 | -6.283 |
| 2 | -0.713 |
| 3 | -5.846 |